[1]
Entry from Alexandria: Tc2Au after structural relaxation (PBE).

Unit cell a=6.181 b=6.181 c=6.181 alpha=153.28 beta=153.28 gamma=38.15
Positions (direct):
Tc  0.182  0.182  0.000
Tc  0.818  0.818  0.000
Au  0.500  0.500  0.000

E above lowest polymorph	36.0	meV per atom
M_tot	0.00	μB/cell
space-group type	I4/mmm
energy of formation from the pure elements	47.5	kJ/mol of formula units

***

[2]
Entry from Alexandria: NdDyCd after structural relaxation (PBE).

Unit cell a=7.945 b=6.754 c=5.859 alpha=77.72 beta=56.17 gamma=46.10
Positions (direct):
Nd  0.166  0.834  0.166
Nd  0.834  0.166  0.834
Dy  0.363  0.363  0.637
Dy  0.637  0.637  0.363
Cd  0.250  0.250  0.250
Cd  0.750  0.750  0.750

E above lowest polymorph	94.1	meV per atom
M_tot	0.00	μB/cell
space-group type	Fmmm
energy of formation from the pure elements	-35.8	kJ/mol of formula units

***

[3]
Entry from Alexandria: Ho2Ge3Pd2 after structural relaxation (PBE).

Unit cell a=5.561 b=5.561 c=6.644 alpha=110.50 beta=110.50 gamma=45.18
Positions (direct):
Ho  0.150  0.150  0.282
Ho  0.850  0.850  0.718
Ge  0.391  0.391  0.053
Ge  0.500  0.500  0.500
Ge  0.609  0.609  0.947
Pd  0.145  0.145  0.743
Pd  0.855  0.855  0.257

E above lowest polymorph	121.4	meV per atom
M_tot	0.00	μB/cell
space-group type	C2/m
energy of formation from the pure elements	-489.0	kJ/mol of formula units

***

[4]
Entry from Alexandria: RbAl4S7 after structural relaxation (PBE).

Unit cell a=15.211 b=6.472 c=6.038 alpha=90.00 beta=90.00 gamma=90.00
Positions (direct):
Rb  0.000  0.196  0.000
Rb  0.500  0.804  0.500
Al  0.123  0.667  0.585
Al  0.249  0.181  0.565
Al  0.251  0.819  0.065
Al  0.377  0.333  0.085
Al  0.623  0.333  0.085
Al  0.749  0.819  0.065
Al  0.751  0.181  0.565
Al  0.877  0.667  0.585
S  0.000  0.832  0.467
S  0.121  0.696  0.956
S  0.123  0.338  0.472
S  0.245  0.840  0.450
S  0.255  0.160  0.950
S  0.377  0.662  0.972
S  0.379  0.304  0.456
S  0.500  0.168  0.967
S  0.621  0.304  0.456
S  0.623  0.662  0.972
S  0.745  0.160  0.950
S  0.755  0.840  0.450
S  0.877  0.338  0.472
S  0.879  0.696  0.956

E	-114.65	eV for the cell shown
M_tot	2.13	μB/cell
space-group type	Pmn2_1

***

[5]
Entry from Alexandria: NdGa4Pd2Au after structural relaxation (PBE).

Unit cell a=9.431 b=9.431 c=9.431 alpha=26.59 beta=26.59 gamma=26.59
Positions (direct):
Nd  0.000  0.000  0.000
Ga  0.124  0.124  0.124
Ga  0.398  0.398  0.398
Ga  0.602  0.602  0.602
Ga  0.876  0.876  0.876
Pd  0.244  0.244  0.244
Pd  0.756  0.756  0.756
Au  0.500  0.500  0.500

M_tot	0.00	μB/cell
space-group type	R-3m
energy of formation from the pure elements	-421.2	kJ/mol of formula units

***

[6]
Entry from Alexandria: Mg2TaTiCd after structural relaxation (PBE).

Unit cell a=5.169 b=5.169 c=5.224 alpha=90.00 beta=90.00 gamma=90.00
Positions (direct):
Mg  0.000  0.500  0.000
Mg  0.500  0.000  0.000
Ta  0.000  0.000  0.000
Ti  0.500  0.500  0.500
Cd  0.000  0.000  0.500

M_tot	1.28	μB/cell
space-group type	P4/mmm
energy of formation from the pure elements	754.8	kJ/mol of formula units

***

[7]
Entry from Alexandria: TbTiGe2O8 after structural relaxation (PBE).

Unit cell a=5.766 b=5.766 c=5.766 alpha=107.67 beta=107.67 gamma=113.14
Positions (direct):
Tb  0.000  0.000  0.000
Ti  0.250  0.750  0.500
Ge  0.500  0.500  0.000
Ge  0.750  0.250  0.500
O  0.319  0.118  0.800
O  0.319  0.519  0.200
O  0.372  0.049  0.324
O  0.481  0.681  0.800
O  0.725  0.049  0.676
O  0.882  0.681  0.200
O  0.951  0.275  0.324
O  0.951  0.628  0.676

E	-86.84	eV for the cell shown
M_tot	0.86	μB/cell
space-group type	I-4m2

***

[8]
Entry from Alexandria: SbSeBr after structural relaxation (PBE).

Unit cell a=7.438 b=7.438 c=7.229 alpha=99.07 beta=99.07 gamma=31.99
Positions (direct):
Sb  0.249  0.249  0.272
Sb  0.751  0.751  0.728
Se  0.363  0.363  0.609
Se  0.637  0.637  0.391
Br  0.121  0.121  0.853
Br  0.879  0.879  0.147

E	-21.16	eV for the cell shown
M_tot	0.00	μB/cell
space-group type	C2/m

***

[9]
Entry from Alexandria: Ge2Pd2I after structural relaxation (PBE).

Unit cell a=6.285 b=6.285 c=6.285 alpha=139.51 beta=139.51 gamma=58.60
Positions (direct):
Ge  0.125  0.125  0.000
Ge  0.875  0.875  0.000
Pd  0.250  0.750  0.500
Pd  0.750  0.250  0.500
I  0.500  0.500  0.000

E above lowest polymorph	45.9	meV per atom
M_tot	0.00	μB/cell
space-group type	I4/mmm

***

[10]
Entry from Alexandria: Pm5Nd12Sm2 after structural relaxation (PBE).

Unit cell a=11.864 b=11.864 c=8.854 alpha=109.10 beta=109.10 gamma=35.42
Positions (direct):
Pm  0.000  0.000  0.000
Pm  0.249  0.249  0.991
Pm  0.349  0.349  0.404
Pm  0.651  0.651  0.596
Pm  0.751  0.751  0.009
Nd  0.053  0.547  0.707
Nd  0.144  0.144  0.563
Nd  0.150  0.637  0.115
Nd  0.363  0.850  0.885
Nd  0.452  0.452  0.805
Nd  0.453  0.947  0.293
Nd  0.547  0.053  0.707
Nd  0.548  0.548  0.195
Nd  0.637  0.150  0.115
Nd  0.850  0.363  0.885
Nd  0.856  0.856  0.437
Nd  0.947  0.453  0.293
Sm  0.256  0.744  0.500
Sm  0.744  0.256  0.500

E above lowest polymorph	34.2	meV per atom
M_tot	0.00	μB/cell
space-group type	C2/m
energy of formation from the pure elements	230.3	kJ/mol of formula units

***

[11]
Entry from Alexandria: Dy6GeS5 after structural relaxation (PBE).

Unit cell a=6.838 b=6.838 c=6.862 alpha=99.52 beta=99.52 gamma=119.96
Positions (direct):
Dy  0.083  0.417  0.750
Dy  0.249  0.249  0.249
Dy  0.417  0.083  0.750
Dy  0.583  0.917  0.250
Dy  0.751  0.751  0.751
Dy  0.917  0.583  0.250
Ge  0.500  0.500  0.000
S  0.000  0.000  0.500
S  0.167  0.833  0.000
S  0.334  0.666  0.500
S  0.666  0.334  0.500
S  0.833  0.167  0.000

E	-75.02	eV for the cell shown
M_tot	0.00	μB/cell
space-group type	C2/m

***

[12]
Entry from Alexandria: CaGd2Tm after structural relaxation (PBE).

Unit cell a=3.623 b=3.623 c=10.297 alpha=90.00 beta=90.00 gamma=90.00
Positions (direct):
Ca  0.000  0.000  0.000
Gd  0.500  0.500  0.271
Gd  0.500  0.500  0.729
Tm  0.000  0.000  0.500

E above lowest polymorph	0.0	meV per atom
M_tot	15.47	μB/cell
space-group type	P4/mmm
energy of formation from the pure elements	22.0	kJ/mol of formula units

***

[13]
Entry from Alexandria: YAl after structural relaxation (PBE).

Unit cell a=4.790 b=4.790 c=4.790 alpha=60.00 beta=60.00 gamma=60.00
Positions (direct):
Y  0.000  0.000  0.000
Al  0.250  0.250  0.250

M_tot	0.81	μB/cell
space-group type	F-43m
energy of formation from the pure elements	182.0	kJ/mol of formula units

***

[14]
Entry from Alexandria: ZrInRu2 after structural relaxation (PBE).

Unit cell a=3.526 b=3.526 c=5.760 alpha=90.00 beta=90.00 gamma=90.00
Positions (direct):
Zr  0.000  0.000  0.000
In  0.500  0.500  0.317
Ru  0.000  0.000  0.519
Ru  0.500  0.500  0.812

M_tot	0.47	μB/cell
space-group type	P4mm
energy of formation from the pure elements	0.6	kJ/mol of formula units

***

[15]
Entry from Alexandria: PuInCoRu after structural relaxation (PBE).

Unit cell a=4.628 b=4.628 c=4.628 alpha=60.00 beta=60.00 gamma=60.00
Positions (direct):
Pu  0.000  0.000  0.000
In  0.500  0.500  0.500
Co  0.250  0.250  0.250
Ru  0.750  0.750  0.750

M_tot	3.61	μB/cell
space-group type	F-43m
energy of formation from the pure elements	-25.7	kJ/mol of formula units

***

[16]
Entry from Alexandria: In2AsSe after structural relaxation (PBE).

Unit cell a=7.914 b=7.914 c=7.914 alpha=32.83 beta=32.83 gamma=32.83
Positions (direct):
In  0.000  0.000  0.000
In  0.494  0.494  0.494
As  0.371  0.371  0.371
Se  0.875  0.875  0.875

E above lowest polymorph	37.9	meV per atom
M_tot	0.00	μB/cell
space-group type	R3m

***

[17]
Entry from Alexandria: YTcTe2 after structural relaxation (PBE).

Unit cell a=8.646 b=8.646 c=8.646 alpha=141.54 beta=141.54 gamma=55.53
Positions (direct):
Y  0.000  0.000  0.000
Y  0.750  0.250  0.500
Tc  0.250  0.750  0.500
Tc  0.500  0.500  0.000
Te  0.186  0.625  0.061
Te  0.375  0.436  0.561
Te  0.564  0.125  0.939
Te  0.875  0.814  0.439

E above lowest polymorph	347.1	meV per atom
M_tot	0.00	μB/cell
space-group type	I-42d

***

[18]
Entry from Alexandria: AgMoPb after structural relaxation (PBE).

Unit cell a=7.602 b=7.455 c=2.975 alpha=81.40 beta=75.84 gamma=22.76
Positions (direct):
Ag  0.000  0.000  0.000
Mo  0.353  0.353  0.647
Pb  0.690  0.690  0.310

E above lowest polymorph	13.9	meV per atom
M_tot	0.00	μB/cell
space-group type	Fmm2
energy of formation from the pure elements	198.3	kJ/mol of formula units

***

[19]
Entry from Alexandria: Th3AlTc after structural relaxation (PBE).

Unit cell a=7.628 b=7.628 c=10.172 alpha=121.92 beta=121.92 gamma=33.74
Positions (direct):
Th  0.092  0.092  0.448
Th  0.340  0.340  0.186
Th  0.366  0.366  0.804
Th  0.634  0.634  0.196
Th  0.660  0.660  0.814
Th  0.908  0.908  0.552
Al  0.067  0.067  0.933
Al  0.933  0.933  0.067
Tc  0.270  0.270  0.411
Tc  0.730  0.730  0.589

E above lowest polymorph	0.0	meV per atom
M_tot	0.00	μB/cell
space-group type	C2/m
energy of formation from the pure elements	-52.7	kJ/mol of formula units

***

[20]
Entry from Alexandria: Tl2AsPt after structural relaxation (PBE).

Unit cell a=9.756 b=9.756 c=9.756 alpha=19.51 beta=19.51 gamma=19.51
Positions (direct):
Tl  0.243  0.243  0.243
Tl  0.757  0.757  0.757
As  0.000  0.000  0.000
Pt  0.500  0.500  0.500

E above lowest polymorph	465.3	meV per atom
M_tot	0.00	μB/cell
space-group type	R-3m
energy of formation from the pure elements	108.9	kJ/mol of formula units

***

[21]
Entry from Alexandria: DySc2PbC after structural relaxation (PBE).

Unit cell a=4.602 b=4.602 c=4.882 alpha=90.00 beta=90.00 gamma=90.00
Positions (direct):
Dy  0.000  0.000  0.000
Sc  0.000  0.500  0.500
Sc  0.500  0.000  0.500
Pb  0.500  0.500  0.000
C  0.000  0.000  0.500

M_tot	0.00	μB/cell
space-group type	P4/mmm
energy of formation from the pure elements	-295.1	kJ/mol of formula units

***

[22]
Entry from Alexandria: KInSi2 after structural relaxation (PBE).

Unit cell a=3.771 b=3.796 c=7.233 alpha=90.00 beta=90.00 gamma=90.00
Positions (direct):
K  0.000  0.000  0.000
In  0.000  0.000  0.500
Si  0.500  0.500  0.336
Si  0.500  0.500  0.664

E	-13.85	eV for the cell shown
M_tot	0.00	μB/cell
space-group type	Pmmm

***

[23]
Entry from Alexandria: Pr6InSn2Te3 after structural relaxation (PBE).

Unit cell a=10.293 b=10.293 c=9.195 alpha=105.74 beta=105.74 gamma=25.39
Positions (direct):
Pr  0.000  0.000  0.247
Pr  0.000  0.000  0.753
Pr  0.331  0.331  0.925
Pr  0.333  0.333  0.415
Pr  0.667  0.667  0.585
Pr  0.669  0.669  0.075
In  0.500  0.500  0.500
Sn  0.165  0.165  0.828
Sn  0.835  0.835  0.172
Te  0.167  0.167  0.330
Te  0.500  0.500  0.000
Te  0.833  0.833  0.670

E	-61.42	eV for the cell shown
M_tot	0.00	μB/cell
space-group type	C2/m

***

[24]
Entry from Alexandria: Li3PaGe2 after structural relaxation (PBE).

Unit cell a=7.791 b=7.791 c=7.702 alpha=115.30 beta=115.30 gamma=31.17
Positions (direct):
Li  0.050  0.050  0.389
Li  0.308  0.308  0.534
Li  0.394  0.394  0.304
Li  0.606  0.606  0.696
Li  0.692  0.692  0.466
Li  0.950  0.950  0.611
Pa  0.140  0.140  0.052
Pa  0.860  0.860  0.948
Ge  0.208  0.208  0.741
Ge  0.480  0.480  0.826
Ge  0.520  0.520  0.174
Ge  0.792  0.792  0.259

M_tot	0.84	μB/cell
space-group type	C2/m
energy of formation from the pure elements	-206.9	kJ/mol of formula units

***

[25]
Entry from Alexandria: GeAs2RhI after structural relaxation (PBE).

Unit cell a=5.278 b=5.278 c=5.322 alpha=90.00 beta=90.00 gamma=90.00
Positions (direct):
Ge  0.000  0.000  0.000
As  0.000  0.500  0.500
As  0.500  0.000  0.500
Rh  0.500  0.500  0.000
I  0.000  0.000  0.500

E	-14.30	eV for the cell shown
M_tot	0.61	μB/cell
space-group type	P4/mmm